Record 1
Entry from the Alexandria database: a geometry-optimized TaSb structure (GGA-PBEsol).

## Properties
Fermi-level density of states	1.5	states/eV/cell
spin magnetization	0.000	μB/f.u.
mass density	11.381	Mg/m³
final energy	-8.42	eV/atom
energy relative to the elements, uncorrected	0.132	eV per atom

Geometry as CIF:
```
data_TaSb
_chemical_formula_sum 'Ta2 Sb2'
_symmetry_space_group_name_H-M 'P 4/n m m'
_symmetry_Int_Tables_number 129
_cell_length_a 2.970
_cell_length_b 2.970
_cell_length_c 10.017
_cell_angle_alpha 90.00
_cell_angle_beta 90.00
_cell_angle_gamma 90.00
loop_
_symmetry_equiv_pos_as_xyz
'x,y,z'
'-x,-y,-z'
'-y+1/2,x,z'
'y+1/2,-x,-z'
'-x+1/2,-y+1/2,z'
'x+1/2,y+1/2,-z'
'y,-x+1/2,z'
'-y,x+1/2,-z'
'x+1/2,-y,-z'
'-x+1/2,y,z'
'-y,-x,-z'
'y,x,z'
'-x,y+1/2,-z'
'x,-y+1/2,z'
'y+1/2,x+1/2,-z'
'-y+1/2,-x+1/2,z'
loop_
_atom_site_label
_atom_site_type_symbol
_atom_site_fract_x
_atom_site_fract_y
_atom_site_fract_z
_atom_site_occupancy
Ta1 Ta 0.250 0.250 0.111 1
Sb1 Sb 0.250 0.250 0.671 1
```

Record 2
Entry from the Alexandria database: a geometry-optimized TaSb structure (GGA-PBEsol).

## Properties
Fermi-level density of states	0.8	states/eV/cell
spin magnetization	0.000	μB/f.u.
mass density	12.500	Mg/m³
final energy	-8.68	eV/atom
energy relative to the elements, uncorrected	-0.122	eV per atom

Geometry as CIF:
```
data_TaSb
_chemical_formula_sum 'Ta2 Sb2'
_symmetry_space_group_name_H-M 'P 4/n m m'
_symmetry_Int_Tables_number 129
_cell_length_a 3.528
_cell_length_b 3.528
_cell_length_c 6.460
_cell_angle_alpha 90.00
_cell_angle_beta 90.00
_cell_angle_gamma 90.00
loop_
_symmetry_equiv_pos_as_xyz
'x,y,z'
'-x,-y,-z'
'-y+1/2,x,z'
'y+1/2,-x,-z'
'-x+1/2,-y+1/2,z'
'x+1/2,y+1/2,-z'
'y,-x+1/2,z'
'-y,x+1/2,-z'
'x+1/2,-y,-z'
'-x+1/2,y,z'
'-y,-x,-z'
'y,x,z'
'-x,y+1/2,-z'
'x,-y+1/2,z'
'y+1/2,x+1/2,-z'
'-y+1/2,-x+1/2,z'
loop_
_atom_site_label
_atom_site_type_symbol
_atom_site_fract_x
_atom_site_fract_y
_atom_site_fract_z
_atom_site_occupancy
Ta1 Ta 0.250 0.250 0.127 1
Sb1 Sb 0.250 0.250 0.668 1
```

Record 3
Entry from the Alexandria database: a geometry-optimized TaSb3 structure (GGA-PBEsol).

## Properties
Fermi-level density of states	4.6	states/eV/cell
spin magnetization	0.000	μB/f.u.
mass density	9.531	Mg/m³
final energy	-6.37	eV/atom
energy relative to the elements, uncorrected	0.183	eV per atom

Geometry as CIF:
```
data_TaSb3
_chemical_formula_sum 'Ta2 Sb6'
_symmetry_space_group_name_H-M 'C m m m'
_symmetry_Int_Tables_number 65
_symmetry_space_group_name_Hall '-C 2 2'
_cell_length_a 3.813
_cell_length_b 4.883
_cell_length_c 10.221
_cell_angle_alpha 90.00
_cell_angle_beta 90.00
_cell_angle_gamma 90.00
loop_
_atom_site_label
_atom_site_type_symbol
_atom_site_fract_x
_atom_site_fract_y
_atom_site_fract_z
_atom_site_occupancy
Ta1 Ta 0.000 0.000 0.000 1
Sb1 Sb 0.000 0.000 0.500 1
Sb2 Sb 0.000 0.500 0.208 1
```

Record 4
Entry from the Alexandria database: a geometry-optimized TaSb2 structure (GGA-PBEsol).

## Properties
Fermi-level density of states	1.6	states/eV/cell
spin magnetization	0.000	μB/f.u.
mass density	10.625	Mg/m³
final energy	-7.42	eV/atom
energy relative to the elements, uncorrected	-0.201	eV per atom

Geometry as CIF:
```
data_TaSb2
_chemical_formula_sum 'Ta4 Sb8'
_symmetry_space_group_name_H-M 'C 1 2/m 1'
_symmetry_Int_Tables_number 12
_cell_length_a 10.231
_cell_length_b 3.633
_cell_length_c 8.280
_cell_angle_alpha 90.00
_cell_angle_beta 120.42
_cell_angle_gamma 90.00
loop_
_symmetry_equiv_pos_as_xyz
'x,y,z'
'-x,-y,-z'
'-x,y,-z'
'x,-y,z'
'x+1/2,y+1/2,z'
'-x+1/2,-y+1/2,-z'
'-x+1/2,y+1/2,-z'
'x+1/2,-y+1/2,z'
loop_
_atom_site_label
_atom_site_type_symbol
_atom_site_fract_x
_atom_site_fract_y
_atom_site_fract_z
_atom_site_occupancy
Ta1 Ta 0.151 0.000 0.188 1
Sb1 Sb 0.095 0.500 0.886 1
Sb2 Sb 0.148 0.000 0.535 1
```

Record 5
Entry from the Alexandria database: a geometry-optimized Ta3Sb structure (GGA-PBEsol).

## Properties
Fermi-level density of states	3.6	states/eV/cell
spin magnetization	0.000	μB/f.u.
mass density	15.141	Mg/m³
final energy	-10.60	eV/atom
energy relative to the elements, uncorrected	-0.046	eV per atom

Geometry as CIF:
```
data_Ta3Sb
_chemical_formula_sum 'Ta6 Sb2'
_symmetry_space_group_name_H-M 'I m m m'
_symmetry_Int_Tables_number 71
_symmetry_space_group_name_Hall '-I 2 2'
_cell_length_a 3.522
_cell_length_b 4.566
_cell_length_c 9.064
_cell_angle_alpha 90.00
_cell_angle_beta 90.00
_cell_angle_gamma 90.00
loop_
_atom_site_label
_atom_site_type_symbol
_atom_site_fract_x
_atom_site_fract_y
_atom_site_fract_z
_atom_site_occupancy
Ta1 Ta 0.000 0.000 0.000 1
Ta2 Ta 0.000 0.500 0.260 1
Sb1 Sb 0.000 0.000 0.500 1
```

Record 6
Entry from the Alexandria database: a geometry-optimized Ta3Sb structure (GGA-PBEsol).

## Properties
Fermi-level density of states	4.3	states/eV/cell
spin magnetization	0.000	μB/f.u.
mass density	14.779	Mg/m³
final energy	-10.49	eV/atom
energy relative to the elements, uncorrected	0.060	eV per atom

Geometry as CIF:
```
data_Ta3Sb
_chemical_formula_sum 'Ta6 Sb2'
_symmetry_space_group_name_H-M 'C m m m'
_symmetry_Int_Tables_number 65
_symmetry_space_group_name_Hall '-C 2 2'
_cell_length_a 3.467
_cell_length_b 4.893
_cell_length_c 8.804
_cell_angle_alpha 90.00
_cell_angle_beta 90.00
_cell_angle_gamma 90.00
loop_
_atom_site_label
_atom_site_type_symbol
_atom_site_fract_x
_atom_site_fract_y
_atom_site_fract_z
_atom_site_occupancy
Ta1 Ta 0.000 0.000 0.000 1
Ta2 Ta 0.000 0.500 0.247 1
Sb1 Sb 0.000 0.000 0.500 1
```

Record 7
Entry from the Alexandria database: a geometry-optimized Ta3Sb structure (GGA-PBEsol).

## Properties
Fermi-level density of states	3.0	states/eV/cell
spin magnetization	0.000	μB/f.u.
mass density	15.362	Mg/m³
final energy	-10.70	eV/atom
energy relative to the elements, uncorrected	-0.147	eV per atom

Geometry as CIF:
```
data_Ta3Sb
_chemical_formula_sum 'Ta6 Sb2'
_symmetry_space_group_name_H-M 'P m -3 n'
_symmetry_Int_Tables_number 223
_symmetry_space_group_name_Hall '-P 4n 2 3'
_cell_length_a 5.238
_cell_length_b 5.238
_cell_length_c 5.238
_cell_angle_alpha 90.00
_cell_angle_beta 90.00
_cell_angle_gamma 90.00
loop_
_atom_site_label
_atom_site_type_symbol
_atom_site_fract_x
_atom_site_fract_y
_atom_site_fract_z
_atom_site_occupancy
Ta1 Ta 0.000 0.250 0.500 1
Sb1 Sb 0.000 0.000 0.000 1
```

Record 8
Entry from the Alexandria database: a geometry-optimized TaSb2 structure (GGA-PBEsol).

## Properties
Fermi-level density of states	1.5	states/eV/cell
spin magnetization	0.000	μB/f.u.
mass density	9.697	Mg/m³
final energy	-7.13	eV/atom
energy relative to the elements, uncorrected	0.089	eV per atom

Geometry as CIF:
```
data_TaSb2
_chemical_formula_sum 'Ta1 Sb2'
_symmetry_space_group_name_H-M 'P -3 m 1'
_symmetry_Int_Tables_number 164
_symmetry_space_group_name_Hall '-P 3 2"'
_cell_length_a 3.2511
_cell_length_b 3.2511
_cell_length_c 7.9402
_cell_angle_alpha 90.00
_cell_angle_beta 90.00
_cell_angle_gamma 120.00
loop_
_atom_site_label
_atom_site_type_symbol
_atom_site_fract_x
_atom_site_fract_y
_atom_site_fract_z
_atom_site_occupancy
Ta1 Ta 0.0000 0.0000 0.0000 1
Sb1 Sb 0.3333 0.6667 0.7257 1
```

Record 9
Entry from the Alexandria database: a geometry-optimized TaTcSb structure (GGA-PBEsol).

## Properties
Fermi-level density of states	4.9	states/eV/cell
spin magnetization	0.000	μB/f.u.
mass density	12.967	Mg/m³
final energy	-9.38	eV/atom
energy relative to the elements, uncorrected	0.076	eV per atom

Geometry as CIF:
```
data_TaTcSb
_chemical_formula_sum 'Ta2 Tc2 Sb2'
_symmetry_space_group_name_H-M 'I 4 m m'
_symmetry_Int_Tables_number 107
_symmetry_space_group_name_Hall 'I 4 -2'
_cell_length_a 3.180
_cell_length_b 3.180
_cell_length_c 10.148
_cell_angle_alpha 90.00
_cell_angle_beta 90.00
_cell_angle_gamma 90.00
loop_
_atom_site_label
_atom_site_type_symbol
_atom_site_fract_x
_atom_site_fract_y
_atom_site_fract_z
_atom_site_occupancy
Ta1 Ta 0.000 0.000 0.000 1
Tc1 Tc 0.000 0.000 0.341 1
Sb1 Sb 0.000 0.000 0.687 1
```

Record 10
Entry from the Alexandria database: a geometry-optimized TaTc3Sb structure (GGA-PBEsol).

## Properties
Fermi-level density of states	6.2	states/eV/cell
spin magnetization	1.948	μB/f.u.
mass density	9.550	Mg/m³
final energy	-8.47	eV/atom
energy relative to the elements, uncorrected	1.708	eV per atom

Geometry as CIF:
```
data_TaTc3Sb
_chemical_formula_sum 'Ta1 Tc3 Sb1'
_symmetry_space_group_name_H-M 'P m -3 m'
_symmetry_Int_Tables_number 221
_symmetry_space_group_name_Hall '-P 4 2 3'
_cell_length_a 4.699
_cell_length_b 4.699
_cell_length_c 4.699
_cell_angle_alpha 90.00
_cell_angle_beta 90.00
_cell_angle_gamma 90.00
loop_
_atom_site_label
_atom_site_type_symbol
_atom_site_fract_x
_atom_site_fract_y
_atom_site_fract_z
_atom_site_occupancy
Ta1 Ta 0.000 0.000 0.000 1
Tc1 Tc 0.000 0.000 0.500 1
Sb1 Sb 0.500 0.500 0.500 1
```